(1)
Density functional theory data (PBE) for an optimized crystal structure of Cs2Tl15Bi2.

Unit cell a=8.840 b=8.840 c=8.840 alpha=82.75 beta=82.75 gamma=82.75
Element x y z (fractional)
Cs  0.658  0.658  0.658
Cs  0.342  0.342  0.342
Tl  0.342  0.342  0.850
Tl  0.711  0.289  0.000
Tl  0.000  0.711  0.289
Tl  0.289  0.000  0.711
Tl  0.500  0.000  0.000
Tl  0.000  0.000  0.500
Tl  0.711  0.000  0.289
Tl  0.289  0.711  0.000
Tl  0.850  0.342  0.342
Tl  0.000  0.500  0.000
Tl  0.000  0.289  0.711
Tl  0.658  0.658  0.150
Tl  0.658  0.150  0.658
Tl  0.342  0.850  0.342
Tl  0.150  0.658  0.658
Bi  0.904  0.904  0.904
Bi  0.096  0.096  0.096

Values from the calculation:
* total DFT energy (no corrections): -2.42 eV/atom
* D(E_F): 0.48 states/eV per atom
* symmetry: R-3m, No. 166
* formation energy from the elements: -0.05 eV per atom



(2)
Density functional theory data (PBE) for an optimized crystal structure of TbTlPb.

Unit cell a=4.974 b=4.978 c=9.270 alpha=74.32 beta=74.44 gamma=60.02
Element x y z (fractional)
Tl  0.303  0.304  0.090
Tl  0.697  0.696  0.910
Pb  0.858  0.858  0.425
Pb  0.142  0.142  0.575
Tb  0.425  0.424  0.726
Tb  0.575  0.576  0.274

Values from the calculation:
* total DFT energy (no corrections): -3.68 eV/atom
* D(E_F): 0.34 states/eV per atom
* symmetry: C2/m, No. 12
* polymorph energy (0 for the lowest one): 0.206 eV per atom
* formation energy from the elements: -0.11 eV per atom



(3)
Density functional theory data (PBE) for an optimized crystal structure of CaCeAgPb.

Unit cell a=5.430 b=5.430 c=5.430 alpha=60.00 beta=60.00 gamma=60.00
Each line ends with the local moment (μB).
Element x y z (fractional)
Ce  0.250  0.250  0.250  0.98
Ca  0.750  0.750  0.750  0.01
Ag  0.500  0.500  0.500  0.01
Pb  0.000  0.000  0.000  -0.01

Values from the calculation:
* total DFT energy (no corrections): -3.99 eV/atom
* D(E_F): 2.11 states/eV per atom
* symmetry: F-43m, No. 216
* formation energy from the elements: -0.37 eV per atom



(4)
Density functional theory data (PBE) for an optimized crystal structure of Be3GaAu.

Unit cell a=4.402 b=4.402 c=4.402 alpha=90.00 beta=90.00 gamma=90.00
Element x y z (fractional)
Be  0.500  0.000  0.000
Be  0.000  0.000  0.500
Be  0.000  0.500  0.000
Au  0.000  0.000  0.000
Ga  0.500  0.500  0.500

Values from the calculation:
* total DFT energy (no corrections): -2.98 eV/atom
* D(E_F): 0.25 states/eV per atom
* symmetry: Pm-3m, No. 221
* polymorph energy (0 for the lowest one): 0.000 eV per atom
* formation energy from the elements: 0.52 eV per atom



(5)
Density functional theory data (PBE) for an optimized crystal structure of TaNiMo.

Unit cell a=4.866 b=4.866 c=4.866 alpha=140.91 beta=140.91 gamma=56.47
Element x y z (fractional)
Ni  0.337  0.337  0.000
Mo  0.993  0.993  0.000
Ta  0.670  0.670  0.000

Values from the calculation:
* total DFT energy (no corrections): -9.42 eV/atom
* D(E_F): 1.33 states/eV per atom
* symmetry: I4mm, No. 107
* polymorph energy (0 for the lowest one): 0.165 eV per atom
* formation energy from the elements: 0.07 eV per atom



(6)
Density functional theory data (PBE) for an optimized crystal structure of CrSe3.

Unit cell a=3.216 b=7.487 c=7.472 alpha=90.00 beta=90.00 gamma=90.00
Element x y z (fractional)
Cr  0.000  0.474  0.000
Cr  0.500  0.526  0.500
Se  0.500  0.228  0.000
Se  0.000  0.772  0.500
Se  0.500  0.666  0.813
Se  0.500  0.666  0.187
Se  0.000  0.334  0.687
Se  0.000  0.334  0.313

Values from the calculation:
* total DFT energy (no corrections): -5.21 eV/atom
* D(E_F): 0.45 states/eV per atom
* symmetry: Pmmn, No. 59